Lu4AlGeN2 | PBE-GGA | relaxed

Values from the calculation:
**E**: -6.5029 eV per atom
**V**: 18.009 Å³/atom

a b c (Å): 3.3891 3.3891 14.4837
angles (deg): 90.00 90.00 120.00
Last column: nearest neighbours and their distance in Å.
Element x y z (fractional)
N 0.3333 0.6667 0.2581  6 Lu 2.34-2.36
N 0.3333 0.6667 0.7419  6 Lu 2.34-2.36
Lu 0.0000 0.0000 0.6532  3 N 2.34
Lu 0.0000 0.0000 0.3468  3 N 2.34
Lu 0.6667 0.3333 0.1666  3 N 2.36
Lu 0.6667 0.3333 0.8334  3 N 2.36
Ge 0.6667 0.3333 0.5000  6 Lu 2.96
Al 0.0000 0.0000 0.0000  6 Lu 3.11, 6 Al 3.39

CuI2 | PBE-GGA | relaxed

Values from the calculation:
**E**: -2.2916 eV per atom
**V**: 31.896 Å³/atom

a b c (Å): 3.9185 3.9185 14.2403
angles (deg): 90.00 90.00 118.93
Last column: nearest neighbours and their distance in Å.
Element x y z (fractional)
I 0.9914 0.0086 0.0086  3 Cu 2.73-2.80
I 0.3355 0.6645 0.2320  3 Cu 2.73-2.80
I 0.0086 0.9914 0.5086  3 Cu 2.73-2.80
I 0.6645 0.3355 0.7320  3 Cu 2.73-2.80
Cu 0.6634 0.3366 0.1203  6 I 2.73-2.80
Cu 0.3366 0.6634 0.6203  6 I 2.73-2.80

KNiGe | PBE-GGA | relaxed

Values from the calculation:
**E**: -3.1631 eV per atom
**V**: 22.778 Å³/atom

a b c (Å): 4.5890 4.5890 4.5890
angles (deg): 60.00 60.00 60.00
Last column: nearest neighbours and their distance in Å.
Element x y z (fractional)
Ge 0.2500 0.2500 0.2500  4 Ni 2.81
K 0.7500 0.7500 0.7500  4 Ni 2.81
Ni 0.0000 0.0000 0.0000  4 Ge 2.81, 4 K 2.81